[1]
Below is crystalline AcPmIn at its relaxed geometry, with properties calculated at the PBE level.

a = 8.1611 Å, b = 8.1611 Å, c = 8.1611 Å
α = 143.23°, β = 137.82°, γ = 57.18°
Fractional coordinates of all 6 atoms:
1 Ac 0.3483 0.0983 0.2500
2 Ac 0.6517 0.9017 0.7500
3 Pm 0.0469 0.7969 0.2500
4 Pm 0.9531 0.2031 0.7500
5 In 0.1817 0.4317 0.7500
6 In 0.8183 0.5683 0.2500

## Properties
Distance to the lowest polymorph of the same formula = 424 meV per atom
VASP energy = -22.48 eV for the cell shown
Space group = No. 74
V = 36.11 A^3/atom
Energy relative to the elements = 0.1187 eV/atom


[2]
Below is crystalline AcPm12In6 at its relaxed geometry, with properties calculated at the PBE level.

a = 8.9347 Å, b = 8.9347 Å, c = 8.9347 Å
α = 102.52°, β = 102.52°, γ = 102.52°
Fractional coordinates of all 19 atoms:
1 Ac 0.0000 0.0000 0.0000
2 Pm 0.1106 0.5000 0.8894
3 Pm 0.1106 0.8894 0.5000
4 Pm 0.1735 0.4394 0.4394
5 Pm 0.4394 0.1735 0.4394
6 Pm 0.4394 0.4394 0.1735
7 Pm 0.5000 0.1106 0.8894
8 Pm 0.5000 0.8894 0.1106
9 Pm 0.5606 0.5606 0.8265
10 Pm 0.5606 0.8265 0.5606
11 Pm 0.8265 0.5606 0.5606
12 Pm 0.8894 0.1106 0.5000
13 Pm 0.8894 0.5000 0.1106
14 In 0.2516 0.2516 0.7187
15 In 0.2516 0.7187 0.2516
16 In 0.2813 0.7484 0.7484
17 In 0.7187 0.2516 0.2516
18 In 0.7484 0.2813 0.7484
19 In 0.7484 0.7484 0.2813

## Properties
VASP energy = -79.38 eV for the cell shown
Space group = No. 166
V = 34.38 A^3/atom
Energy relative to the elements = -0.0967 eV/atom


[3]
Below is crystalline Ac12PmIn6 at its relaxed geometry, with properties calculated at the PBE level.

a = 8.9372 Å, b = 8.9372 Å, c = 8.9372 Å
α = 87.93°, β = 87.93°, γ = 87.93°
Fractional coordinates of all 19 atoms:
1 Ac 0.0305 0.3094 0.9338
2 Ac 0.0662 0.9695 0.6906
3 Ac 0.1222 0.3446 0.4691
4 Ac 0.3094 0.9338 0.0305
5 Ac 0.3446 0.4691 0.1222
6 Ac 0.4691 0.1222 0.3446
7 Ac 0.5309 0.8778 0.6554
8 Ac 0.6554 0.5309 0.8778
9 Ac 0.6906 0.0662 0.9695
10 Ac 0.8778 0.6554 0.5309
11 Ac 0.9338 0.0305 0.3094
12 Ac 0.9695 0.6906 0.0662
13 Pm 0.5000 0.5000 0.5000
14 In 0.2337 0.7558 0.3875
15 In 0.2442 0.6125 0.7663
16 In 0.3875 0.2337 0.7558
17 In 0.6125 0.7663 0.2442
18 In 0.7558 0.3875 0.2337
19 In 0.7663 0.2442 0.6125

## Properties
VASP energy = -73.64 eV for the cell shown
Space group = No. 148
V = 37.50 A^3/atom
Energy relative to the elements = -0.1660 eV/atom


[4]
Below is crystalline AcPmIn2 at its relaxed geometry, with properties calculated at the PBE level.

a = 5.6372 Å, b = 5.6372 Å, c = 5.6372 Å
α = 60.00°, β = 60.00°, γ = 60.00°
Fractional coordinates of all 4 atoms:
1 Ac 0.0000 0.0000 0.0000
2 Pm 0.5000 0.5000 0.5000
3 In 0.2500 0.2500 0.2500
4 In 0.7500 0.7500 0.7500

## Properties
Distance to the lowest polymorph of the same formula = 23 meV per atom
VASP energy = -16.07 eV for the cell shown
Space group = No. 225
V = 31.67 A^3/atom
Energy relative to the elements = -0.4328 eV/atom


[5]
Below is crystalline Ac2Pm3In4 at its relaxed geometry, with properties calculated at the PBE level.

a = 9.4649 Å, b = 9.4649 Å, c = 9.3880 Å
α = 90.00°, β = 90.00°, γ = 134.31°
Fractional coordinates of all 18 atoms:
1 Ac 0.1099 0.8901 0.9235
2 Ac 0.3901 0.6099 0.4235
3 Ac 0.6099 0.3901 0.5765
4 Ac 0.8901 0.1099 0.0765
5 Pm 0.0000 0.0000 0.5000
6 Pm 0.0298 0.4702 0.7500
7 Pm 0.4702 0.0298 0.2500
8 Pm 0.5000 0.5000 0.0000
9 Pm 0.5298 0.9702 0.7500
10 Pm 0.9702 0.5298 0.2500
11 In 0.1824 0.8176 0.5369
12 In 0.2099 0.2901 0.7500
13 In 0.2901 0.2099 0.2500
14 In 0.3176 0.6824 0.0369
15 In 0.6824 0.3176 0.9631
16 In 0.7099 0.7901 0.7500
17 In 0.7901 0.7099 0.2500
18 In 0.8176 0.1824 0.4631

## Properties
Distance to the lowest polymorph of the same formula = 97 meV per atom
VASP energy = -72.86 eV for the cell shown
Space group = No. 64
V = 33.43 A^3/atom
Energy relative to the elements = -0.3340 eV/atom


[6]
Below is crystalline AcPm2In at its relaxed geometry, with properties calculated at the PBE level.

a = 13.6842 Å, b = 5.6466 Å, c = 7.1623 Å
α = 90.00°, β = 90.00°, γ = 90.00°
Fractional coordinates of all 16 atoms:
1 Ac 0.1231 0.2500 0.0957
2 Ac 0.3769 0.7500 0.5957
3 Ac 0.6231 0.2500 0.4043
4 Ac 0.8769 0.7500 0.9043
5 Pm 0.0569 0.7500 0.3845
6 Pm 0.1997 0.2500 0.6123
7 Pm 0.3003 0.7500 0.1123
8 Pm 0.4431 0.2500 0.8845
9 Pm 0.5569 0.7500 0.1155
10 Pm 0.6997 0.2500 0.8877
11 Pm 0.8003 0.7500 0.3877
12 Pm 0.9431 0.2500 0.6155
13 In 0.1226 0.7500 0.8118
14 In 0.3774 0.2500 0.3118
15 In 0.6226 0.7500 0.6882
16 In 0.8774 0.2500 0.1882

## Properties
Distance to the lowest polymorph of the same formula = 24 meV per atom
VASP energy = -68.63 eV for the cell shown
Space group = No. 62
V = 34.59 A^3/atom
Energy relative to the elements = -0.2026 eV/atom


[7]
Below is crystalline AcPmIn6 at its relaxed geometry, with properties calculated at the PBE level.

a = 4.8170 Å, b = 4.8170 Å, c = 9.6109 Å
α = 90.00°, β = 90.00°, γ = 90.00°
Fractional coordinates of all 8 atoms:
1 Ac 0.0000 0.0000 0.0000
2 Pm 0.0000 0.0000 0.5000
3 In 0.0000 0.5000 0.2602
4 In 0.0000 0.5000 0.7398
5 In 0.5000 0.0000 0.2602
6 In 0.5000 0.0000 0.7398
7 In 0.5000 0.5000 0.0000
8 In 0.5000 0.5000 0.5000

## Properties
VASP energy = -28.71 eV for the cell shown
Space group = No. 123
V = 27.88 A^3/atom
Energy relative to the elements = -0.4274 eV/atom


[8]
Below is crystalline AcPm4In4 at its relaxed geometry, with properties calculated at the PBE level.

a = 9.5331 Å, b = 9.5331 Å, c = 6.1994 Å
α = 90.00°, β = 90.00°, γ = 90.00°
Fractional coordinates of all 18 atoms:
1 Ac 0.2500 0.2500 0.2500
2 Ac 0.7500 0.7500 0.7500
3 Pm 0.0923 0.8267 0.6321
4 Pm 0.1733 0.5923 0.1321
5 Pm 0.3267 0.9077 0.1321
6 Pm 0.4077 0.6733 0.6321
7 Pm 0.5923 0.3267 0.3679
8 Pm 0.6733 0.0923 0.8679
9 Pm 0.8267 0.4077 0.8679
10 Pm 0.9077 0.1733 0.3679
11 In 0.0359 0.1386 0.8489
12 In 0.1386 0.4641 0.6511
13 In 0.3614 0.0359 0.6511
14 In 0.4641 0.3614 0.8489
15 In 0.5359 0.6386 0.1511
16 In 0.6386 0.9641 0.3489
17 In 0.8614 0.5359 0.3489
18 In 0.9641 0.8614 0.1511

## Properties
VASP energy = -72.56 eV for the cell shown
Space group = No. 86
V = 31.30 A^3/atom
Energy relative to the elements = -0.2464 eV/atom


[9]
Below is crystalline AcPmIn4 at its relaxed geometry, with properties calculated at the PBE level.

a = 6.1983 Å, b = 6.1983 Å, c = 6.1983 Å
α = 60.00°, β = 60.00°, γ = 60.00°
Fractional coordinates of all 6 atoms:
1 Ac 0.0000 0.0000 0.0000
2 Pm 0.7500 0.7500 0.7500
3 In 0.3753 0.3753 0.3753
4 In 0.3753 0.3753 0.8742
5 In 0.3753 0.8742 0.3753
6 In 0.8742 0.3753 0.3753

## Properties
Distance to the lowest polymorph of the same formula = 47 meV per atom
VASP energy = -22.23 eV for the cell shown
Space group = No. 216
V = 28.06 A^3/atom
Energy relative to the elements = -0.4027 eV/atom


[10]
Below is crystalline AcPmIn4 at its relaxed geometry, with properties calculated at the PBE level.

a = 6.5252 Å, b = 6.5252 Å, c = 6.5252 Å
α = 136.46°, β = 107.14°, γ = 88.87°
Fractional coordinates of all 6 atoms:
1 Ac 0.0000 0.0000 0.0000
2 Pm 0.6188 0.1188 0.5000
3 In 0.0097 0.7145 0.2952
4 In 0.2002 0.3950 0.8052
5 In 0.4194 0.7145 0.7048
6 In 0.5897 0.3950 0.1948

## Properties
Distance to the lowest polymorph of the same formula = 1 meV per atom
VASP energy = -22.50 eV for the cell shown
Space group = No. 44
V = 29.13 A^3/atom
Energy relative to the elements = -0.4487 eV/atom


[11]
Below is crystalline AcPm3In4 at its relaxed geometry, with properties calculated at the PBE level.

a = 11.0979 Å, b = 7.8105 Å, c = 5.5486 Å
α = 90.00°, β = 90.00°, γ = 90.00°
Fractional coordinates of all 16 atoms:
1 Ac 0.0000 0.0000 0.0000
2 Ac 0.5000 0.0000 0.0000
3 Pm 0.0000 0.5000 0.0000
4 Pm 0.2500 0.0000 0.4967
5 Pm 0.2500 0.5000 0.4957
6 Pm 0.5000 0.5000 0.0000
7 Pm 0.7500 0.0000 0.5033
8 Pm 0.7500 0.5000 0.5043
9 In 0.0000 0.2627 0.5000
10 In 0.0000 0.7373 0.5000
11 In 0.2500 0.2627 0.9949
12 In 0.2500 0.7373 0.9949
13 In 0.5000 0.2627 0.5000
14 In 0.5000 0.7373 0.5000
15 In 0.7500 0.2627 0.0051
16 In 0.7500 0.7373 0.0051

## Properties
VASP energy = -65.99 eV for the cell shown
Space group = No. 51
V = 30.06 A^3/atom
Energy relative to the elements = -0.4599 eV/atom


[12]
Below is crystalline AcPm2In6 at its relaxed geometry, with properties calculated at the PBE level.

a = 8.7886 Å, b = 8.7886 Å, c = 3.7780 Å
α = 90.00°, β = 90.00°, γ = 120.00°
Fractional coordinates of all 9 atoms:
1 Ac 0.0000 0.0000 0.0000
2 Pm 0.3333 0.6667 0.0000
3 Pm 0.6667 0.3333 0.0000
4 In 0.0000 0.3375 0.5000
5 In 0.0000 0.6625 0.5000
6 In 0.3375 0.0000 0.5000
7 In 0.3375 0.3375 0.5000
8 In 0.6625 0.0000 0.5000
9 In 0.6625 0.6625 0.5000

## Properties
VASP energy = -33.96 eV for the cell shown
Space group = No. 191
V = 28.08 A^3/atom
Energy relative to the elements = -0.4359 eV/atom


[13]
Below is crystalline Ac2PmIn3 at its relaxed geometry, with properties calculated at the PBE level.

a = 4.0027 Å, b = 4.0027 Å, c = 12.1659 Å
α = 90.00°, β = 90.00°, γ = 90.00°
Fractional coordinates of all 6 atoms:
1 Ac 0.0000 0.0000 0.1745
2 Ac 0.0000 0.0000 0.8255
3 Pm 0.0000 0.0000 0.5000
4 In 0.5000 0.5000 0.0000
5 In 0.5000 0.5000 0.3535
6 In 0.5000 0.5000 0.6465

## Properties
VASP energy = -23.84 eV for the cell shown
Space group = No. 123
V = 32.49 A^3/atom
Energy relative to the elements = -0.4426 eV/atom


[14]
Below is crystalline Ac2Pm3In4 at its relaxed geometry, with properties calculated at the PBE level.

a = 8.7012 Å, b = 8.7422 Å, c = 8.3005 Å
α = 90.00°, β = 107.44°, γ = 90.00°
Fractional coordinates of all 18 atoms:
1 Ac 0.1872 0.1781 0.0651
2 Ac 0.1872 0.3219 0.5651
3 Ac 0.8128 0.6781 0.4349
4 Ac 0.8128 0.8219 0.9349
5 Pm 0.2438 0.6708 0.2501
6 Pm 0.2438 0.8292 0.7501
7 Pm 0.5000 0.0000 0.5000
8 Pm 0.5000 0.5000 0.0000
9 Pm 0.7562 0.1708 0.2499
10 Pm 0.7562 0.3292 0.7499
11 In 0.0813 0.5378 0.8636
12 In 0.0813 0.9622 0.3636
13 In 0.4973 0.1237 0.8731
14 In 0.4973 0.3763 0.3731
15 In 0.5027 0.6237 0.6269
16 In 0.5027 0.8763 0.1269
17 In 0.9187 0.0378 0.6364
18 In 0.9187 0.4622 0.1364

## Properties
Distance to the lowest polymorph of the same formula = 0 meV per atom
VASP energy = -74.61 eV for the cell shown
Space group = No. 14
V = 33.46 A^3/atom
Energy relative to the elements = -0.4313 eV/atom


[15]
Below is crystalline Ac3Pm4In4 at its relaxed geometry, with properties calculated at the PBE level.

a = 8.1934 Å, b = 8.1934 Å, c = 8.1934 Å
α = 109.47°, β = 109.47°, γ = 109.47°
Fractional coordinates of all 11 atoms:
1 Ac 0.0000 0.5000 0.5000
2 Ac 0.5000 0.0000 0.5000
3 Ac 0.5000 0.5000 0.0000
4 Pm 0.0000 0.0000 0.7391
5 Pm 0.0000 0.7391 0.0000
6 Pm 0.2609 0.2609 0.2609
7 Pm 0.7391 0.0000 0.0000
8 In 0.0000 0.0000 0.3792
9 In 0.0000 0.3792 0.0000
10 In 0.3792 0.0000 0.0000
11 In 0.6208 0.6208 0.6208

## Properties
VASP energy = -43.48 eV for the cell shown
Space group = No. 217
V = 38.49 A^3/atom
Energy relative to the elements = -0.1091 eV/atom


[16]
Below is crystalline AcPm8In6 at its relaxed geometry, with properties calculated at the PBE level.

a = 8.5231 Å, b = 8.5231 Å, c = 8.5231 Å
α = 66.70°, β = 66.70°, γ = 66.70°
Fractional coordinates of all 15 atoms:
1 Ac 0.0000 0.0000 0.0000
2 Pm 0.1164 0.7841 0.4432
3 Pm 0.2159 0.5568 0.8836
4 Pm 0.3313 0.3313 0.3313
5 Pm 0.4432 0.1164 0.7841
6 Pm 0.5568 0.8836 0.2159
7 Pm 0.6687 0.6687 0.6687
8 Pm 0.7841 0.4432 0.1164
9 Pm 0.8836 0.2159 0.5568
10 In 0.0573 0.4006 0.7116
11 In 0.2884 0.9427 0.5994
12 In 0.4006 0.7116 0.0573
13 In 0.5994 0.2884 0.9427
14 In 0.7116 0.0573 0.4006
15 In 0.9427 0.5994 0.2884

## Properties
VASP energy = -61.96 eV for the cell shown
Space group = No. 148
V = 33.39 A^3/atom
Energy relative to the elements = -0.2274 eV/atom


[17]
Below is crystalline Ac2PmIn2 at its relaxed geometry, with properties calculated at the PBE level.

a = 6.6043 Å, b = 6.6043 Å, c = 6.6043 Å
α = 134.73°, β = 113.93°, γ = 83.72°
Fractional coordinates of all 5 atoms:
1 Ac 0.1980 0.1980 0.0000
2 Ac 0.8020 0.8020 0.0000
3 Pm 0.5000 0.0000 0.5000
4 In 0.2154 0.5000 0.7154
5 In 0.7846 0.5000 0.2846

## Properties
VASP energy = -20.18 eV for the cell shown
Space group = No. 71
V = 36.01 A^3/atom
Energy relative to the elements = -0.3468 eV/atom


[18]
Below is crystalline AcPm8In2 at its relaxed geometry, with properties calculated at the PBE level.

a = 9.0445 Å, b = 9.0445 Å, c = 5.4527 Å
α = 99.82°, β = 99.82°, γ = 75.52°
Fractional coordinates of all 11 atoms:
1 Ac 0.0000 0.0000 0.0000
2 Pm 0.1636 0.6320 0.2145
3 Pm 0.2477 0.2477 0.1332
4 Pm 0.3680 0.8364 0.7855
5 Pm 0.4180 0.4180 0.7096
6 Pm 0.5820 0.5820 0.2904
7 Pm 0.6320 0.1636 0.2145
8 Pm 0.7523 0.7523 0.8668
9 Pm 0.8364 0.3680 0.7855
10 In 0.1447 0.1447 0.5727
11 In 0.8553 0.8553 0.4273

## Properties
VASP energy = -44.51 eV for the cell shown
Space group = No. 12
V = 38.34 A^3/atom
Energy relative to the elements = 0.2802 eV/atom


[19]
Below is crystalline AcPm6In at its relaxed geometry, with properties calculated at the PBE level.

a = 5.0645 Å, b = 5.0645 Å, c = 10.4369 Å
α = 90.00°, β = 90.00°, γ = 90.00°
Fractional coordinates of all 8 atoms:
1 Ac 0.0000 0.0000 0.0000
2 Pm 0.0000 0.5000 0.2637
3 Pm 0.0000 0.5000 0.7363
4 Pm 0.5000 0.0000 0.2637
5 Pm 0.5000 0.0000 0.7363
6 Pm 0.5000 0.5000 0.0000
7 Pm 0.5000 0.5000 0.5000
8 In 0.0000 0.0000 0.5000

## Properties
VASP energy = -36.11 eV for the cell shown
Space group = No. 123
V = 33.46 A^3/atom
Energy relative to the elements = -0.0954 eV/atom


[20]
Below is crystalline AcPm7In2 at its relaxed geometry, with properties calculated at the PBE level.

a = 9.0784 Å, b = 9.0784 Å, c = 5.7436 Å
α = 90.00°, β = 90.00°, γ = 118.60°
Fractional coordinates of all 10 atoms:
1 Ac 0.0000 0.0000 0.0000
2 Pm 0.0558 0.3041 0.5000
3 Pm 0.2390 0.7610 0.0000
4 Pm 0.3041 0.0558 0.5000
5 Pm 0.5000 0.5000 0.5000
6 Pm 0.6959 0.9442 0.5000
7 Pm 0.7610 0.2390 0.0000
8 Pm 0.9442 0.6959 0.5000
9 In 0.3034 0.6966 0.5000
10 In 0.6966 0.3034 0.5000

## Properties
VASP energy = -39.86 eV for the cell shown
Space group = No. 65
V = 41.56 A^3/atom
Energy relative to the elements = 0.2984 eV/atom


[21]
Below is crystalline Ac2Pm3In at its relaxed geometry, with properties calculated at the PBE level.

a = 8.3882 Å, b = 8.3882 Å, c = 5.0985 Å
α = 90.00°, β = 90.00°, γ = 144.22°
Fractional coordinates of all 6 atoms:
1 Ac 0.1627 0.8373 0.0000
2 Ac 0.8373 0.1627 0.0000
3 Pm 0.0000 0.0000 0.5000
4 Pm 0.3430 0.6570 0.5000
5 Pm 0.6570 0.3430 0.5000
6 In 0.5000 0.5000 0.0000

## Properties
VASP energy = -25.87 eV for the cell shown
Space group = No. 65
V = 34.96 A^3/atom
Energy relative to the elements = -0.1099 eV/atom